[1]
## Li4SiSbPt2 (PBE-GGA)

Data for Li4SiSbPt2 after structural relaxation.

## Properties
space-group type = P-4m2
calculated total energy = -0.319 Ry/atom
total magnetization = 0.0 μB/cell

Cell and atoms, written as extended XYZ:
```
8
Lattice="4.2290 0.0000 0.0000 0.0000 4.2290 0.0000 0.0000 0.0000 6.3862" Properties=species:S:1:pos:R:3 pbc="T T T"
Li 0.0000 0.0000 0.0000
Li 0.0000 2.1145 4.6187
Li 2.1145 0.0000 1.7675
Li 2.1145 2.1145 3.1931
Si 0.0000 0.0000 3.1931
Sb 2.1145 2.1145 0.0000
Pt 0.0000 2.1145 1.8160
Pt 2.1145 0.0000 4.5702
```



[2]
## SrLiSbPt (PBE-GGA)

Data for SrLiSbPt after structural relaxation.

## Properties
space-group type = F-43m
calculated total energy = -0.283 Ry/atom
energy above the lowest structure with this stoichiometry = 0.245 eV/atom
total magnetization = 0.0 μB/cell

Cell and atoms, written as extended XYZ:
```
16
Lattice="7.2102 0.0000 0.0000 0.0000 7.2102 0.0000 0.0000 0.0000 7.2102" Properties=species:S:1:pos:R:3 pbc="T T T"
Sr 0.0000 0.0000 0.0000
Sr 0.0000 3.6051 3.6051
Sr 3.6051 0.0000 3.6051
Sr 3.6051 3.6051 0.0000
Li 0.0000 0.0000 3.6051
Li 0.0000 3.6051 0.0000
Li 3.6051 0.0000 0.0000
Li 3.6051 3.6051 3.6051
Sb 1.8026 1.8026 1.8026
Sb 1.8026 5.4077 5.4077
Sb 5.4077 1.8026 5.4077
Sb 5.4077 5.4077 1.8026
Pt 1.8026 1.8026 5.4077
Pt 1.8026 5.4077 1.8026
Pt 5.4077 1.8026 1.8026
Pt 5.4077 5.4077 5.4077
```



[3]
## SrLiSbPt (PBE-GGA)

Data for SrLiSbPt after structural relaxation.

## Properties
space-group type = F-43m
calculated total energy = -0.301 Ry/atom
energy above the lowest structure with this stoichiometry = 0.000 eV/atom
total magnetization = 0.0 μB/cell

Cell and atoms, written as extended XYZ:
```
16
Lattice="6.9813 0.0000 0.0000 0.0000 6.9813 0.0000 0.0000 0.0000 6.9813" Properties=species:S:1:pos:R:3 pbc="T T T"
Sr 0.0000 0.0000 0.0000
Sr 0.0000 3.4906 3.4906
Sr 3.4906 0.0000 3.4906
Sr 3.4906 3.4906 0.0000
Li 1.7453 1.7453 5.2359
Li 1.7453 5.2359 1.7453
Li 5.2359 1.7453 1.7453
Li 5.2359 5.2359 5.2359
Sb 0.0000 0.0000 3.4906
Sb 0.0000 3.4906 0.0000
Sb 3.4906 0.0000 0.0000
Sb 3.4906 3.4906 3.4906
Pt 1.7453 1.7453 1.7453
Pt 1.7453 5.2359 5.2359
Pt 5.2359 1.7453 5.2359
Pt 5.2359 5.2359 1.7453
```



[4]
## SrLiSbPt (PBE-GGA)

Data for SrLiSbPt after structural relaxation.

## Properties
space-group type = F-43m
calculated total energy = -0.293 Ry/atom
energy above the lowest structure with this stoichiometry = 0.117 eV/atom
total magnetization = 0.0 μB/cell

Cell and atoms, written as extended XYZ:
```
16
Lattice="6.9972 0.0000 0.0000 0.0000 6.9972 0.0000 0.0000 0.0000 6.9972" Properties=species:S:1:pos:R:3 pbc="T T T"
Sr 0.0000 0.0000 0.0000
Sr 0.0000 3.4986 3.4986
Sr 3.4986 0.0000 3.4986
Sr 3.4986 3.4986 0.0000
Li 1.7493 1.7493 5.2479
Li 1.7493 5.2479 1.7493
Li 5.2479 1.7493 1.7493
Li 5.2479 5.2479 5.2479
Sb 1.7493 1.7493 1.7493
Sb 1.7493 5.2479 5.2479
Sb 5.2479 1.7493 5.2479
Sb 5.2479 5.2479 1.7493
Pt 0.0000 0.0000 3.4986
Pt 0.0000 3.4986 0.0000
Pt 3.4986 0.0000 0.0000
Pt 3.4986 3.4986 3.4986
```



[5]
## Li4ZnSbPt2 (PBE-GGA)

Data for Li4ZnSbPt2 after structural relaxation.

## Properties
space-group type = P-4m2
calculated total energy = -0.275 Ry/atom
total magnetization = 0.0 μB/cell

Cell and atoms, written as extended XYZ:
```
8
Lattice="4.4191 0.0000 0.0000 0.0000 4.4191 0.0000 0.0000 0.0000 6.0878" Properties=species:S:1:pos:R:3 pbc="T T T"
Li 0.0000 0.0000 0.0000
Li 0.0000 2.2095 4.4042
Li 2.2095 0.0000 1.6836
Li 2.2095 2.2095 3.0439
Zn 0.0000 0.0000 3.0439
Sb 2.2095 2.2095 0.0000
Pt 0.0000 2.2095 1.5481
Pt 2.2095 0.0000 4.5397
```



[6]
## LiScSiPt (PBE-GGA)

Data for LiScSiPt after structural relaxation.

## Properties
space-group type = F-43m
calculated total energy = -0.430 Ry/atom
energy above the lowest structure with this stoichiometry = 0.000 eV/atom
total magnetization = 0.0 μB/cell

Cell and atoms, written as extended XYZ:
```
16
Lattice="6.1986 0.0000 0.0000 0.0000 6.1986 0.0000 0.0000 0.0000 6.1986" Properties=species:S:1:pos:R:3 pbc="T T T"
Li 0.0000 0.0000 0.0000
Li 0.0000 3.0993 3.0993
Li 3.0993 0.0000 3.0993
Li 3.0993 3.0993 0.0000
Sc 1.5496 1.5496 1.5496
Sc 1.5496 4.6489 4.6489
Sc 4.6489 1.5496 4.6489
Sc 4.6489 4.6489 1.5496
Si 1.5496 1.5496 4.6489
Si 1.5496 4.6489 1.5496
Si 4.6489 1.5496 1.5496
Si 4.6489 4.6489 4.6489
Pt 0.0000 0.0000 3.0993
Pt 0.0000 3.0993 0.0000
Pt 3.0993 0.0000 0.0000
Pt 3.0993 3.0993 3.0993
```



[7]
## LiScSiPt (PBE-GGA)

Data for LiScSiPt after structural relaxation.

## Properties
space-group type = F-43m
calculated total energy = -0.412 Ry/atom
energy above the lowest structure with this stoichiometry = 0.238 eV/atom
total magnetization = 0.0 μB/cell

Cell and atoms, written as extended XYZ:
```
16
Lattice="6.3160 0.0000 0.0000 0.0000 6.3160 0.0000 0.0000 0.0000 6.3160" Properties=species:S:1:pos:R:3 pbc="T T T"
Li 0.0000 0.0000 0.0000
Li 0.0000 3.1580 3.1580
Li 3.1580 0.0000 3.1580
Li 3.1580 3.1580 0.0000
Sc 0.0000 0.0000 3.1580
Sc 0.0000 3.1580 0.0000
Sc 3.1580 0.0000 0.0000
Sc 3.1580 3.1580 3.1580
Si 1.5790 1.5790 1.5790
Si 1.5790 4.7370 4.7370
Si 4.7370 1.5790 4.7370
Si 4.7370 4.7370 1.5790
Pt 1.5790 1.5790 4.7370
Pt 1.5790 4.7370 1.5790
Pt 4.7370 1.5790 1.5790
Pt 4.7370 4.7370 4.7370
```



[8]
## LiScSiPt (PBE-GGA)

Data for LiScSiPt after structural relaxation.

## Properties
space-group type = F-43m
calculated total energy = -0.430 Ry/atom
energy above the lowest structure with this stoichiometry = 0.000 eV/atom
total magnetization = 0.0 μB/cell

Cell and atoms, written as extended XYZ:
```
16
Lattice="6.1977 0.0000 0.0000 0.0000 6.1977 0.0000 0.0000 0.0000 6.1977" Properties=species:S:1:pos:R:3 pbc="T T T"
Li 0.0000 0.0000 0.0000
Li 0.0000 3.0988 3.0988
Li 3.0988 0.0000 3.0988
Li 3.0988 3.0988 0.0000
Sc 1.5494 1.5494 4.6483
Sc 1.5494 4.6483 1.5494
Sc 4.6483 1.5494 1.5494
Sc 4.6483 4.6483 4.6483
Si 1.5494 1.5494 1.5494
Si 1.5494 4.6483 4.6483
Si 4.6483 1.5494 4.6483
Si 4.6483 4.6483 1.5494
Pt 0.0000 0.0000 3.0988
Pt 0.0000 3.0988 0.0000
Pt 3.0988 0.0000 0.0000
Pt 3.0988 3.0988 3.0988
```



[9]
## LiScSiPt (PBE-GGA)

Data for LiScSiPt after structural relaxation.

## Properties
space-group type = F-43m
calculated total energy = -0.420 Ry/atom
energy above the lowest structure with this stoichiometry = 0.126 eV/atom
total magnetization = 0.0 μB/cell

Cell and atoms, written as extended XYZ:
```
16
Lattice="6.1729 0.0000 0.0000 0.0000 6.1729 0.0000 0.0000 0.0000 6.1729" Properties=species:S:1:pos:R:3 pbc="T T T"
Li 0.0000 0.0000 0.0000
Li 0.0000 3.0864 3.0864
Li 3.0864 0.0000 3.0864
Li 3.0864 3.0864 0.0000
Sc 1.5432 1.5432 4.6297
Sc 1.5432 4.6297 1.5432
Sc 4.6297 1.5432 1.5432
Sc 4.6297 4.6297 4.6297
Si 0.0000 0.0000 3.0864
Si 0.0000 3.0864 0.0000
Si 3.0864 0.0000 0.0000
Si 3.0864 3.0864 3.0864
Pt 1.5432 1.5432 1.5432
Pt 1.5432 4.6297 4.6297
Pt 4.6297 1.5432 4.6297
Pt 4.6297 4.6297 1.5432
```



[10]
## LiScSnPt (PBE-GGA)

Data for LiScSnPt after structural relaxation.

## Properties
space-group type = F-43m
calculated total energy = -0.386 Ry/atom
energy above the lowest structure with this stoichiometry = 0.252 eV/atom
total magnetization = 0.0 μB/cell

Cell and atoms, written as extended XYZ:
```
16
Lattice="6.5432 0.0000 0.0000 0.0000 6.5432 0.0000 0.0000 0.0000 6.5432" Properties=species:S:1:pos:R:3 pbc="T T T"
Li 0.0000 0.0000 0.0000
Li 0.0000 3.2716 3.2716
Li 3.2716 0.0000 3.2716
Li 3.2716 3.2716 0.0000
Sc 1.6358 1.6358 4.9074
Sc 1.6358 4.9074 1.6358
Sc 4.9074 1.6358 1.6358
Sc 4.9074 4.9074 4.9074
Sn 0.0000 0.0000 3.2716
Sn 0.0000 3.2716 0.0000
Sn 3.2716 0.0000 0.0000
Sn 3.2716 3.2716 3.2716
Pt 1.6358 1.6358 1.6358
Pt 1.6358 4.9074 4.9074
Pt 4.9074 1.6358 4.9074
Pt 4.9074 4.9074 1.6358
```



[11]
## LiScSnPt (PBE-GGA)

Data for LiScSnPt after structural relaxation.

## Properties
space-group type = F-43m
calculated total energy = -0.388 Ry/atom
energy above the lowest structure with this stoichiometry = 0.222 eV/atom
total magnetization = 0.0 μB/cell

Cell and atoms, written as extended XYZ:
```
16
Lattice="6.6081 0.0000 0.0000 0.0000 6.6081 0.0000 0.0000 0.0000 6.6081" Properties=species:S:1:pos:R:3 pbc="T T T"
Li 0.0000 0.0000 0.0000
Li 0.0000 3.3041 3.3041
Li 3.3041 0.0000 3.3041
Li 3.3041 3.3041 0.0000
Sc 0.0000 0.0000 3.3041
Sc 0.0000 3.3041 0.0000
Sc 3.3041 0.0000 0.0000
Sc 3.3041 3.3041 3.3041
Sn 1.6520 1.6520 1.6520
Sn 1.6520 4.9561 4.9561
Sn 4.9561 1.6520 4.9561
Sn 4.9561 4.9561 1.6520
Pt 1.6520 1.6520 4.9561
Pt 1.6520 4.9561 1.6520
Pt 4.9561 1.6520 1.6520
Pt 4.9561 4.9561 4.9561
```



[12]
## LiScSnPt (PBE-GGA)

Data for LiScSnPt after structural relaxation.

## Properties
space-group type = F-43m
calculated total energy = -0.405 Ry/atom
energy above the lowest structure with this stoichiometry = 0.000 eV/atom
total magnetization = 0.0 μB/cell

Cell and atoms, written as extended XYZ:
```
16
Lattice="6.5136 0.0000 0.0000 0.0000 6.5136 0.0000 0.0000 0.0000 6.5136" Properties=species:S:1:pos:R:3 pbc="T T T"
Li 0.0000 0.0000 0.0000
Li 0.0000 3.2568 3.2568
Li 3.2568 0.0000 3.2568
Li 3.2568 3.2568 0.0000
Sc 1.6284 1.6284 4.8852
Sc 1.6284 4.8852 1.6284
Sc 4.8852 1.6284 1.6284
Sc 4.8852 4.8852 4.8852
Sn 1.6284 1.6284 1.6284
Sn 1.6284 4.8852 4.8852
Sn 4.8852 1.6284 4.8852
Sn 4.8852 4.8852 1.6284
Pt 0.0000 0.0000 3.2568
Pt 0.0000 3.2568 0.0000
Pt 3.2568 0.0000 0.0000
Pt 3.2568 3.2568 3.2568
```